{"formula": "YTlSi", "functional": "PBE", "state": "optimized geometry", "cell": [[6.465, -0.008, 0.007], [5.175, 3.385, -0.017], [1.290, -0.535, 3.351]], "species": ["Si", "Y", "Tl"], "frac_coords": [[0.000, 0.000, 0.000], [0.650, 0.650, 0.350], [0.350, 0.350, 0.650]], "relative_energy_mev_per_atom": 198, "space_group": "Fmm2 (42)"}